Entry 1:
Material: AgPbSe2
Method: DFT, PBE-GGA
State: relaxed

a b c (Å): 6.548 6.548 6.548
angles (deg): 143.28 143.28 52.90
Element x y z (fractional)
Ag: 0.500 0.500 0.000
Se: 0.000 0.000 0.000
Se: 0.250 0.750 0.500
Pb: 0.750 0.250 0.500

DFT total energy = -13.46 eV/cell
Space group = No. 119
ΔE_f (raw) = 0.02 eV/atom

=====

Entry 2:
Material: YMoAs
Method: DFT, PBE-GGA
State: relaxed

a b c (Å): 3.718 5.340 7.169
angles (deg): 102.03 90.00 110.37
Element x y z (fractional)
Y: 0.885 0.771 0.187
Y: 0.115 0.229 0.813
Mo: 0.383 0.766 0.538
Mo: 0.617 0.234 0.462
As: 0.175 0.349 0.235
As: 0.825 0.651 0.765

DFT total energy = -46.94 eV/cell
Space group = No. 12
Formation energy from the elements = -0.508 eV/atom

=====

Entry 3:
Material: Tb8MgC4
Method: DFT, PBE-GGA
State: relaxed

a b c (Å): 3.623 9.141 9.330
angles (deg): 83.44 78.81 78.57
Element x y z (fractional)
Tb: 0.153 0.322 0.371
Tb: 0.878 0.681 0.563
Tb: 0.179 0.018 0.624
Tb: 0.474 0.356 0.697
Tb: 0.853 0.986 0.309
Tb: 0.558 0.647 0.237
Tb: 0.814 0.344 0.028
Tb: 0.218 0.659 0.906
C: 0.364 0.835 0.436
C: 0.184 0.495 0.136
C: 0.667 0.168 0.498
C: 0.847 0.509 0.797
Mg: 0.516 0.001 0.967

DFT total energy = -78.10 eV/cell
Space group = No. 12
Formation energy from the elements = -0.198 eV/atom

=====

no.,V (Å³ per cell),density of states at the Fermi level (states/eV/cell)
1,99.8,2.91
2,130.1,5.13
3,296.2,11.87